(1)
Entry from the Alexandria database: crystalline LaIn2Au at its relaxed geometry (PBE-GGA).

Computed properties:
crystal system: orthorhombic
spin magnetization: 0.0000 μB per atom

Lattice parameters (Å, degrees): 3.6947 5.2626 10.7892 90.00 90.00 90.00
With the nearest neighbours (Å) after each atom.
Space group Immm (No. 71)
Asymmetric unit:
La  0.0000  0.0000  0.0000 [2 per cell]  4 Au 3.22, 8 In 3.54-3.55
In  0.0000  0.5000  0.2202 [4 per cell]  2 Au 3.01, 4 In 3.28
Au  0.0000  0.0000  0.5000 [2 per cell]  4 In 3.01, 4 La 3.22

=====

(2)
Entry from the Alexandria database: crystalline MnAlZnRe at its relaxed geometry (PBE-GGA).

Computed properties:
crystal system: cubic
spin magnetization: 0.0000 μB per atom

Lattice parameters (Å, degrees): 5.9692 5.9692 5.9692 90.00 90.00 90.00
With the nearest neighbours (Å) after each atom.
Space group F-43m (No. 216)
Asymmetric unit:
Mn  0.0000  0.0000  0.0000 [4 per cell]  4 Re 2.58, 4 Zn 2.58
Al  0.0000  0.0000  0.5000 [4 per cell]  4 Re 2.58, 4 Zn 2.58
Zn  0.2500  0.2500  0.2500 [4 per cell]  4 Mn 2.58, 4 Al 2.58
Re  0.2500  0.2500  0.7500 [4 per cell]  4 Mn 2.58, 4 Al 2.58

=====

(3)
Entry from the Alexandria database: crystalline La2CeSn3 at its relaxed geometry (PBE-GGA).

Computed properties:
crystal system: orthorhombic
spin magnetization: 0.2396 μB per atom

Lattice parameters (Å, degrees): 5.9645 17.9195 6.6569 90.00 90.00 90.00
With the nearest neighbours (Å) after each atom.
Space group Cmcm (No. 63)
Asymmetric unit:
La  0.0000  0.0009  0.2500 [4 per cell]  2 La 3.33, 8 Sn 3.42-3.45
La  0.0000  0.3343  0.7500 [4 per cell]  2 Ce 3.33, 8 Sn 3.39-3.44
Ce  0.0000  0.3343  0.2500 [4 per cell]  2 La 3.33, 8 Sn 3.39-3.43
Sn  0.0000  0.1683  0.5066 [8 per cell]  2 Sn 3.24-3.42, 5 La 3.39-3.45, 3 Ce 3.39-3.43
Sn  0.0000  0.5000  0.0000 [4 per cell]  2 Sn 3.33, 6 La 3.40-3.42, 2 Ce 3.40

=====

(4)
Entry from the Alexandria database: crystalline Pd2RuPb at its relaxed geometry (PBE-GGA).

Computed properties:
crystal system: tetragonal
spin magnetization: 0.1894 μB per atom

Lattice parameters (Å, degrees): 3.8992 3.8992 19.4315 90.00 90.00 90.00
With the nearest neighbours (Å) after each atom.
Space group I-42d (No. 122)
Asymmetric unit:
Pd  0.2374  0.2500  0.1250 [8 per cell]  4 Pd 2.69-2.83, 2 Ru 2.78, 2 Pb 2.81
Ru  0.0000  0.0000  0.0000 [4 per cell]  4 Pb 2.76, 4 Pd 2.78
Pb  0.0000  0.0000  0.5000 [4 per cell]  4 Ru 2.76, 4 Pd 2.81

=====

| no. | DOS at the Fermi energy (states/eV/atom) | final energy (eV per atom) | energy relative to the elements (eV/atom) |
| --- | --- | --- | --- |
| 1 | 0.77 | -3.8259 | -0.41 |
| 2 | 0.78 | -6.6242 | 0.03 |
| 3 | 1.32 | -5.3053 | -0.67 |
| 4 | 1.44 | -5.4211 | 0.42 |